No. 1
{
  "formula": "AcLaThAl",
  "functional": "PBE-GGA",
  "state": "relaxed",
  "cell": [[-2.6895, -4.8957, 0.8609], [2.4100, -4.0340, 3.1401], [-2.0783, -1.2216, 5.1118]],
  "species": ["La", "Al", "Th", "Ac"],
  "frac_coords": [[0.2500, 0.2500, 0.2500], [0.5000, 0.5000, 0.5000], [0.7500, 0.7500, 0.7500], [0.0000, 0.0000, 0.0000]],
  "m_tot_mub_per_fu": 0.00,
  "formation_energy_ev_per_atom": 0.110,
  "final_energy_ev_per_cell": -19.760
}



No. 2
{
  "formula": "Tb4Pm2Y5",
  "functional": "PBE-GGA",
  "state": "relaxed",
  "cell": [[6.7022, 0.0000, 0.0000], [3.3511, 7.8588, 2.6696], [3.3511, 4.7214, 8.5675]],
  "species": ["Y", "Y", "Pm", "Tb", "Tb", "Pm", "Y", "Y", "Tb", "Tb", "Y"],
  "frac_coords": [[0.0000, 0.5000, 0.5000], [0.3509, 0.7287, 0.0923], [0.2018, 0.8934, 0.7030], [0.5872, 0.2305, 0.5952], [0.7557, 0.6857, 0.8029], [0.7982, 0.1066, 0.2970], [0.1719, 0.2713, 0.9077], [0.8281, 0.7287, 0.0923], [0.2443, 0.3143, 0.1971], [0.4128, 0.7695, 0.4048], [0.6491, 0.2713, 0.9077]],
  "m_tot_mub_per_fu": 0.00,
  "polymorph_energy_mev_per_atom": 14,
  "formation_energy_ev_per_atom": 0.164,
  "final_energy_ev_per_cell": -58.542
}



No. 3
{
  "formula": "In4CuPd7",
  "functional": "PBE-GGA",
  "state": "relaxed",
  "cell": [[-1.3642, 3.8972, -2.4968], [-7.5036, 2.5258, 3.3798], [1.5256, 5.2652, 2.7222]],
  "species": ["In", "In", "Pd", "Pd", "In", "Pd", "Cu", "Pd", "Pd", "In", "Pd", "Pd"],
  "frac_coords": [[0.4156, 0.7745, 0.3943], [0.7435, 0.6798, 0.8333], [0.8053, 0.9190, 0.4704], [0.5000, 0.0000, 0.0000], [0.2565, 0.3202, 0.1667], [0.9180, 0.3175, 0.8466], [0.0000, 0.0000, 0.0000], [0.0820, 0.6825, 0.1534], [0.6366, 0.4747, 0.2521], [0.5844, 0.2255, 0.6057], [0.3634, 0.5253, 0.7479], [0.1947, 0.0810, 0.5296]],
  "m_tot_mub_per_fu": 0.00,
  "formation_energy_ev_per_atom": -0.272,
  "final_energy_ev_per_cell": -54.661
}



No. 4
{
  "formula": "MoOsRh",
  "functional": "PBE-GGA",
  "state": "relaxed",
  "cell": [[4.3854, 0.0000, 0.0000], [-2.1927, 3.7979, 0.0000], [0.0000, 0.0000, 2.7209]],
  "species": ["Mo", "Rh", "Os"],
  "frac_coords": [[0.0000, 0.0000, 0.1666], [0.3333, 0.6667, 0.6667], [0.6667, 0.3333, 0.1667]],
  "m_tot_mub_per_fu": 0.00,
  "polymorph_energy_mev_per_atom": 264,
  "formation_energy_ev_per_atom": 0.134,
  "final_energy_ev_per_cell": -29.011
}



No. 5
{
  "formula": "Rb3DyHo2Te6",
  "functional": "PBE-GGA",
  "state": "relaxed",
  "cell": [[7.8213, -0.0016, 0.0007], [-3.9101, 6.7737, 0.0007], [-1.3035, -2.2571, 8.5494]],
  "species": ["Ho", "Te", "Te", "Te", "Te", "Ho", "Rb", "Rb", "Rb", "Dy", "Te", "Te"],
  "frac_coords": [[0.3333, 0.6667, 0.0000], [0.0663, 0.4005, 0.1987], [0.4005, 0.0663, 0.1987], [0.9337, 0.5995, 0.8013], [0.7320, 0.7320, 0.1986], [0.6667, 0.3333, 0.0000], [0.5000, 0.5000, 0.5000], [0.1665, 0.8335, 0.5000], [0.8335, 0.1665, 0.5000], [0.0000, 0.0000, 0.0000], [0.2680, 0.2680, 0.8014], [0.5995, 0.9337, 0.8013]],
  "m_tot_mub_per_fu": 0.00,
  "formation_energy_uncorrected_ev_per_atom": -1.38,
  "final_energy_ev_per_cell": -52.062
}



No. 6
{
  "formula": "Tb2MgZn3",
  "functional": "PBE-GGA",
  "state": "relaxed",
  "cell": [[4.8927, 0.0000, 0.0000], [-2.4463, 4.2372, 0.0000], [0.0000, 0.0000, 12.2760]],
  "species": ["Tb", "Zn", "Mg", "Zn", "Zn", "Tb", "Mg", "Tb", "Tb", "Zn", "Zn", "Zn"],
  "frac_coords": [[0.6667, 0.3333, 0.8197], [0.6667, 0.3333, 0.5802], [0.6667, 0.3333, 0.3390], [0.3333, 0.6667, 0.4198], [0.6667, 0.3333, 0.0885], [0.0000, 0.0000, 0.5000], [0.3333, 0.6667, 0.6610], [0.0000, 0.0000, 0.0000], [0.3333, 0.6667, 0.1803], [0.0000, 0.0000, 0.2559], [0.3333, 0.6667, 0.9115], [0.0000, 0.0000, 0.7441]],
  "m_tot_mub_per_fu": 0.00,
  "polymorph_energy_mev_per_atom": 0,
  "formation_energy_ev_per_atom": -0.325,
  "final_energy_ev_per_cell": -33.248
}



No. 7
{
  "formula": "Sc2Pd2Pt",
  "functional": "PBE-GGA",
  "state": "relaxed",
  "cell": [[7.4703, 0.0000, 0.0000], [0.0000, 7.4703, 0.0000], [0.0000, 0.0000, 3.2525]],
  "species": ["Pt", "Pd", "Sc", "Sc", "Pt", "Sc", "Pd", "Sc", "Pd", "Pd"],
  "frac_coords": [[0.0000, 0.0000, 0.0000], [0.8662, 0.3662, 0.5000], [0.8353, 0.6647, 0.0000], [0.6647, 0.1647, 0.0000], [0.5000, 0.5000, 0.0000], [0.3353, 0.8353, 0.0000], [0.6338, 0.8662, 0.5000], [0.1647, 0.3353, 0.0000], [0.1338, 0.6338, 0.5000], [0.3662, 0.1338, 0.5000]],
  "m_tot_mub_per_fu": 0.00,
  "polymorph_energy_mev_per_atom": 158,
  "formation_energy_ev_per_atom": -0.712,
  "final_energy_ev_per_cell": -65.303
}



No. 8
{
  "formula": "Sr3CeBi2As",
  "functional": "PBE-GGA",
  "state": "relaxed",
  "cell": [[5.6424, 0.0000, 0.0000], [0.0000, 5.6452, 0.0000], [-2.8212, -2.8226, 8.7268]],
  "species": ["Sr", "Sr", "Sr", "Ce", "As", "Bi", "Bi"],
  "frac_coords": [[0.0000, 0.5000, 0.0000], [0.1778, 0.1778, 0.3556], [0.8222, 0.8222, 0.6444], [0.5000, 0.0000, 0.0000], [0.0000, 0.0000, 0.0000], [0.3709, 0.3709, 0.7418], [0.6291, 0.6291, 0.2582]],
  "m_tot_mub_per_fu": 0.96,
  "formation_energy_ev_per_atom": -0.858,
  "final_energy_ev_per_cell": -29.396
}



No. 9
{
  "formula": "HgTeMo2",
  "functional": "PBE-GGA",
  "state": "relaxed",
  "cell": [[-0.6520, 2.8589, 0.6799], [-2.1793, -1.9098, 0.8146], [4.3977, -1.1524, 9.0632]],
  "species": ["Mo", "Te", "Hg", "Mo"],
  "frac_coords": [[0.5000, 0.5000, 0.2196], [0.0000, 0.0000, 0.4578], [0.5000, 0.5000, 0.7883], [0.0000, 0.0000, 0.0342]],
  "m_tot_mub_per_fu": 0.00,
  "polymorph_energy_mev_per_atom": 156,
  "formation_energy_uncorrected_ev_per_atom": 0.44,
  "final_energy_ev_per_cell": -23.352
}



No. 10
{
  "formula": "Na2Ga2Hg",
  "functional": "PBE-GGA",
  "state": "relaxed",
  "cell": [[3.7636, 0.0000, 0.0000], [0.0000, 3.7636, 0.0000], [1.8818, 1.8818, 9.1429]],
  "species": ["Na", "Ga", "Hg", "Ga", "Na"],
  "frac_coords": [[0.6057, 0.6057, 0.7886], [0.2500, 0.7500, 0.5000], [0.0000, 0.0000, 0.0000], [0.7500, 0.2500, 0.5000], [0.3943, 0.3943, 0.2114]],
  "m_tot_mub_per_fu": 0.00,
  "polymorph_energy_mev_per_atom": 15,
  "formation_energy_ev_per_atom": -0.075,
  "final_energy_ev_per_cell": -9.371
}



No. 11
{
  "formula": "K3Rb12Li",
  "functional": "PBE-GGA",
  "state": "relaxed",
  "cell": [[-4.7796, 1.8052, -4.7304], [-1.7880, -6.6878, -0.7456], [-18.4608, 2.7395, 19.6985]],
  "species": ["Rb", "Rb", "Rb", "Li", "Rb", "Rb", "K", "Rb", "Rb", "K", "Rb", "Rb", "K", "Rb", "Rb", "Rb"],
  "frac_coords": [[0.5000, 0.0000, 0.1086], [0.5000, 0.5000, 0.2390], [0.5000, 0.0000, 0.8914], [0.0000, 0.0000, 0.0000], [0.5000, 0.0000, 0.6298], [0.0000, 0.5000, 0.6298], [0.0000, 0.0000, 0.2400], [0.5000, 0.0000, 0.3702], [0.0000, 0.5000, 0.1086], [0.0000, 0.0000, 0.7600], [0.5000, 0.5000, 0.0000], [0.0000, 0.5000, 0.3702], [0.0000, 0.0000, 0.5000], [0.5000, 0.5000, 0.7610], [0.0000, 0.5000, 0.8914], [0.5000, 0.5000, 0.5000]],
  "m_tot_mub_per_fu": 0.00,
  "formation_energy_ev_per_atom": 0.039,
  "final_energy_ev_per_cell": -16.199
}



No. 12
{
  "formula": "Sr2FeAs",
  "functional": "PBE-GGA",
  "state": "relaxed",
  "cell": [[4.5115, 0.0000, 0.0000], [0.0000, 4.5115, 0.0000], [0.0000, 0.0000, 6.3614]],
  "species": ["Sr", "As", "Fe", "Sr"],
  "frac_coords": [[0.5000, 0.5000, 0.3577], [0.0000, 0.0000, 0.4023], [0.5000, 0.5000, 0.8425], [0.0000, 0.0000, 0.8974]],
  "m_tot_mub_per_fu": 2.92,
  "formation_energy_ev_per_atom": 0.100,
  "final_energy_ev_per_cell": -16.074
}